Density functional theory data (PBE-GGA) for an optimized crystal structure of Ac2TbPr8.

a = 7.093 Å, b = 10.587 Å, c = 10.587 Å
α = 38.64°, β = 59.01°, γ = 59.01°
Element x y z (fractional)
Ac 0.578 0.804 0.804
Ac 0.422 0.196 0.196
Tb 0.000 0.000 0.000
Pr 0.228 0.348 0.820
Pr 0.772 0.180 0.652
Pr 0.164 0.755 0.755
Pr 0.836 0.245 0.245
Pr 0.228 0.820 0.348
Pr 0.772 0.652 0.180
Pr 0.732 0.589 0.589
Pr 0.268 0.411 0.411

The volume comes out at 416 Å³/cell. The energy of formation is 0.14 eV per atom. The calculation puts the total energy at -4.507 eV/atom. As for the total moment: 0.000 μB per formula unit.